First-principles (GGA-PBE) data for a geometry-optimized Na2Mg2NbO6 structure, as listed in the Alexandria database.

Values from the calculation:
E_form (uncorrected), eV per atom: -2.18
DOS at the Fermi energy, states/eV/cell: 8.1

extended XYZ file:
```
11
Lattice="2.699 -4.634 0.000 2.699 4.634 0.000 -1.955 0.000 5.516" Properties=species:S:1:pos:R:3 pbc="T T T"
Na 2.699 3.040 0.000
Na 2.699 -3.040 0.000
Mg 1.721 1.499 2.758
Mg 1.721 -1.499 2.758
Nb -0.977 0.000 2.758
O -0.145 1.513 3.831
O 0.722 0.000 1.684
O -0.145 -1.513 3.831
O 3.587 1.513 1.685
O 2.720 0.000 3.832
O 3.587 -1.513 1.685
```



First-principles (GGA-PBE) data for a geometry-optimized Na3Sr2PuO6 structure, as listed in the Alexandria database.

Values from the calculation:
E_form (uncorrected), eV per atom: -2.37
DOS at the Fermi energy, states/eV/cell: 10.9

extended XYZ file:
```
12
Lattice="3.092 -5.406 0.000 3.092 5.406 0.000 -2.032 0.000 5.610" Properties=species:S:1:pos:R:3 pbc="T T T"
Na 0.000 0.000 0.000
Na 3.092 1.627 0.000
Na 3.092 -1.627 0.000
Sr 2.077 3.591 2.805
Sr 2.077 -3.591 2.805
Pu 2.077 0.000 2.805
O 1.187 1.563 1.574
O 0.266 0.000 3.988
O 1.187 -1.563 1.574
O 2.966 1.563 4.036
O 3.887 0.000 1.622
O 2.966 -1.563 4.036
```



First-principles (GGA-PBE) data for a geometry-optimized Er2Tm7Sc structure, as listed in the Alexandria database.

Values from the calculation:
ΔE_f, kJ/mol of formula units: 173
DOS at the Fermi energy, states/eV/cell: 12.8
Relative energy among the computed polymorphs, eV per atom: 0.000

extended XYZ file:
```
10
Lattice="3.161 -14.026 0.000 3.161 14.026 0.000 0.000 0.000 3.423" Properties=species:S:1:pos:R:3 pbc="T T T"
Er 3.161 8.171 0.000
Er 3.161 -8.171 0.000
Tm 0.000 0.000 0.000
Tm 1.613 2.717 0.000
Tm 3.161 5.189 1.712
Tm 1.613 -2.717 0.000
Tm 4.708 2.717 0.000
Tm 3.161 -5.189 1.712
Tm 4.708 -2.717 0.000
Sc 3.161 0.000 1.712
```



First-principles (GGA-PBE) data for a geometry-optimized K4Mg structure, as listed in the Alexandria database.

Values from the calculation:
ΔE_f, kJ/mol of formula units: 126
DOS at the Fermi energy, states/eV/cell: 4.0
Relative energy among the computed polymorphs, eV per atom: 0.137

extended XYZ file:
```
5
Lattice="-2.707 2.707 11.346 2.707 -2.707 11.346 2.707 2.707 -11.346" Properties=species:S:1:pos:R:3 pbc="T T T"
K 0.000 0.000 1.945
K 2.707 0.000 5.673
K 0.000 2.707 5.673
K 0.000 0.000 20.747
Mg 0.000 0.000 11.346
```



First-principles (GGA-PBE) data for a geometry-optimized Dy2CuNi3P4 structure, as listed in the Alexandria database.

Values from the calculation:
ΔE_f, kJ/mol of formula units: -885
DOS at the Fermi energy, states/eV/cell: 2.7

extended XYZ file:
```
10
Lattice="3.998 0.000 0.000 0.000 3.998 0.000 0.000 0.000 9.149" Properties=species:S:1:pos:R:3 pbc="T T T"
Dy 0.000 1.999 2.245
Dy 1.999 0.000 6.903
Cu 0.000 0.000 4.574
Ni 0.000 1.999 8.089
Ni 1.999 0.000 1.059
Ni 1.999 1.999 4.574
P 0.000 0.000 0.000
P 0.000 1.999 5.822
P 1.999 0.000 3.327
P 1.999 1.999 0.000
```



First-principles (GGA-PBE) data for a geometry-optimized MgSi2Ag structure, as listed in the Alexandria database.

Values from the calculation:
E_form (uncorrected), eV per atom: 0.20
DOS at the Fermi energy, states/eV/cell: 1.2

extended XYZ file:
```
4
Lattice="4.067 0.000 0.000 0.000 4.067 0.000 0.000 0.000 4.079" Properties=species:S:1:pos:R:3 pbc="T T T"
Mg 0.000 0.000 0.000
Si 0.000 2.034 2.040
Si 2.034 0.000 2.040
Ag 2.034 2.034 0.000
```



First-principles (GGA-PBE) data for a geometry-optimized AlPt4 structure, as listed in the Alexandria database.

Values from the calculation:
ΔE_f, kJ/mol of formula units: -31
DOS at the Fermi energy, states/eV/cell: 4.6
Relative energy among the computed polymorphs, eV per atom: 0.412

extended XYZ file:
```
5
Lattice="-2.815 2.815 2.815 2.815 -2.815 2.815 2.815 2.815 -2.815" Properties=species:S:1:pos:R:3 pbc="T T T"
Al 0.000 0.000 0.000
Pt 1.408 1.408 -1.408
Pt 1.408 -1.408 1.408
Pt -1.408 1.408 1.408
Pt 1.408 1.408 1.408
```



First-principles (GGA-PBE) data for a geometry-optimized GdScFeRu structure, as listed in the Alexandria database.

Values from the calculation:
ΔE_f, kJ/mol of formula units: -41
DOS at the Fermi energy, states/eV/cell: 6.0

extended XYZ file:
```
4
Lattice="0.000 3.302 3.302 3.302 0.000 3.302 3.302 3.302 0.000" Properties=species:S:1:pos:R:3 pbc="T T T"
Gd 0.000 0.000 0.000
Sc 3.302 3.302 3.302
Fe 1.651 1.651 1.651
Ru 4.952 4.952 4.952
```



First-principles (GGA-PBE) data for a geometry-optimized HgBSe3 structure, as listed in the Alexandria database.

Values from the calculation:
E_form (uncorrected), eV per atom: 0.67
DOS at the Fermi energy, states/eV/cell: 3.9
Relative energy among the computed polymorphs, eV per atom: 0.771

extended XYZ file:
```
5
Lattice="4.587 0.000 0.000 0.000 4.587 0.000 0.000 0.000 4.587" Properties=species:S:1:pos:R:3 pbc="T T T"
Hg 0.000 0.000 0.000
B 2.294 2.294 2.294
Se 0.000 2.294 2.294
Se 2.294 0.000 2.294
Se 2.294 2.294 0.000
```



First-principles (GGA-PBE) data for a geometry-optimized YNbAs2Ru structure, as listed in the Alexandria database.

Values from the calculation:
ΔE_f, kJ/mol of formula units: 429
DOS at the Fermi energy, states/eV/cell: 6.6

extended XYZ file:
```
5
Lattice="4.897 0.000 0.000 0.000 4.897 0.000 0.000 0.000 5.438" Properties=species:S:1:pos:R:3 pbc="T T T"
Y 0.000 0.000 0.000
Nb 0.000 0.000 2.719
As 0.000 2.448 2.719
As 2.448 0.000 2.719
Ru 2.448 2.448 0.000
```



First-principles (GGA-PBE) data for a geometry-optimized YCuC structure, as listed in the Alexandria database.

Values from the calculation:
ΔE_f, kJ/mol of formula units: 1
DOS at the Fermi energy, states/eV/cell: 2.9

extended XYZ file:
```
6
Lattice="3.704 0.000 0.000 0.000 3.548 0.000 -0.055 0.000 7.176" Properties=species:S:1:pos:R:3 pbc="T T T"
Y 0.000 0.000 0.000
Y 1.796 1.774 4.527
Cu 1.843 1.774 1.501
Cu 3.662 0.000 2.868
C -0.009 1.774 1.853
C 3.648 0.000 4.848
```



First-principles (GGA-PBE) data for a geometry-optimized Li2TcPt structure, as listed in the Alexandria database.

Values from the calculation:
ΔE_f, kJ/mol of formula units: 62
DOS at the Fermi energy, states/eV/cell: 3.6
Relative energy among the computed polymorphs, eV per atom: 0.289

extended XYZ file:
```
4
Lattice="4.466 0.000 0.000 0.000 4.466 0.000 0.000 0.000 2.616" Properties=species:S:1:pos:R:3 pbc="T T T"
Li 0.000 2.233 0.000
Li 2.233 0.000 0.000
Tc 0.000 0.000 1.308
Pt 2.233 2.233 1.308
```